VASP calculation (PBEsol) on crystalline LiMnAs2 at its relaxed geometry.

The calculation puts the total energy at -0.42458 Ry/atom. The excess energy over the best structure of this formula in the dataset comes out at 0.000 eV/atom. As for the formation energy: -0.292 eV per atom. The mass density comes out at 6.092 g/cm3.

a b c (Å): 2.8744 2.8744 6.9850
angles (deg): 90.00 90.00 90.00
Sites, in units of the cell vectors:
1 Li 0.0000 0.0000 0.0000
2 Mn 0.0000 0.0000 0.5000
3 As 0.5000 0.5000 0.2910
4 As 0.5000 0.5000 0.7090



VASP calculation (PBEsol) on crystalline Li4MnAs at its relaxed geometry.

The calculation puts the total energy at -0.26636 Ry/atom. As for the formation energy: 0.165 eV per atom. The mass density comes out at 2.960 g/cm3.

a b c (Å): 5.0004 5.0004 5.0004
angles (deg): 60.00 60.00 60.00
Sites, in units of the cell vectors:
1 Li 0.1249 0.1249 0.1249
2 Li 0.1249 0.1249 0.6253
3 Li 0.1249 0.6253 0.1249
4 Li 0.6253 0.1249 0.1249
5 Mn 0.5000 0.5000 0.5000
6 As 0.7500 0.7500 0.7500



VASP calculation (PBEsol) on crystalline LiMn2As2 at its relaxed geometry.

The calculation puts the total energy at -0.48532 Ry/atom. As for the formation energy: -0.263 eV per atom. The mass density comes out at 5.824 g/cm3.

a b c (Å): 5.9928 5.9928 5.9928
angles (deg): 143.41 143.41 52.72
Sites, in units of the cell vectors:
1 Li 0.0000 0.0000 0.0000
2 Mn 0.2500 0.7500 0.5000
3 Mn 0.7500 0.2500 0.5000
4 As 0.3817 0.3817 0.0000
5 As 0.6183 0.6183 0.0000



VASP calculation (PBEsol) on crystalline LiMnAs2 at its relaxed geometry.

The calculation puts the total energy at -0.41852 Ry/atom. The excess energy over the best structure of this formula in the dataset comes out at 0.082 eV/atom. As for the formation energy: -0.209 eV per atom. The mass density comes out at 5.756 g/cm3.

a b c (Å): 2.9065 2.9065 7.3927
angles (deg): 90.00 90.00 102.03
Sites, in units of the cell vectors:
1 Li 0.0000 0.0000 0.0000
2 Mn 0.0000 0.0000 0.5000
3 As 0.5000 0.5000 0.2714
4 As 0.5000 0.5000 0.7286



VASP calculation (PBEsol) on crystalline Li2MnAs at its relaxed geometry.

The calculation puts the total energy at -0.34378 Ry/atom. As for the formation energy: 0.023 eV per atom. The mass density comes out at 4.022 g/cm3.

a b c (Å): 3.4071 3.4071 5.1127
angles (deg): 90.00 90.00 90.00
Sites, in units of the cell vectors:
1 Li 0.0000 0.0000 0.2332
2 Li 0.0000 0.0000 0.7668
3 Mn 0.5000 0.5000 0.5000
4 As 0.5000 0.5000 0.0000



VASP calculation (PBEsol) on crystalline LiMnAs3 at its relaxed geometry.

The calculation puts the total energy at -0.34975 Ry/atom. As for the formation energy: 0.651 eV per atom. The mass density comes out at 5.243 g/cm3.

a b c (Å): 4.4943 4.4943 4.4943
angles (deg): 90.00 90.00 90.00
Sites, in units of the cell vectors:
1 Li 0.0000 0.0000 0.0000
2 Mn 0.5000 0.5000 0.5000
3 As 0.0000 0.0000 0.5000
4 As 0.0000 0.5000 0.0000
5 As 0.5000 0.0000 0.0000



> Which of these has the highest mass density?

number 1



> Which of these has the lowest mass density?

Li4MnAs



Please write out number 3 again, unchanged.
VASP calculation (PBEsol) on crystalline LiMn2As2 at its relaxed geometry.

The calculation puts the total energy at -0.48532 Ry/atom. As for the formation energy: -0.263 eV per atom. The mass density comes out at 5.824 g/cm3.

a b c (Å): 5.9928 5.9928 5.9928
angles (deg): 143.41 143.41 52.72
Sites, in units of the cell vectors:
1 Li 0.0000 0.0000 0.0000
2 Mn 0.2500 0.7500 0.5000
3 Mn 0.7500 0.2500 0.5000
4 As 0.3817 0.3817 0.0000
5 As 0.6183 0.6183 0.0000